DFT (PBE) results for a geometry-optimized Pm12NdIn4O3 structure.

Computed properties:
**Theoretical density**: 7.515 g/cm3
**Energy relative to the elements, uncorrected**: -18.442 kcal/mol of atoms
**Volume**: 26.42 Å³ per atom
**Density of states at the Fermi level**: 17.64 states/eV per cell

a b c (Å): 8.8215 8.8215 8.8215
angles (deg): 109.47 109.47 109.47
Positions (direct):
O 0.0000 0.5000 0.5000
Nd 0.0000 0.0000 0.0000
O 0.5000 0.0000 0.5000
Pm 0.5000 0.7500 0.2500
Pm 0.7271 0.0000 0.7271
O 0.5000 0.5000 0.0000
Pm 0.7500 0.5000 0.2500
Pm 0.2500 0.5000 0.7500
Pm 0.2500 0.7500 0.5000
Pm 0.0000 0.2729 0.2729
Pm 0.7271 0.7271 0.0000
In 0.5000 0.5000 0.5000
In 0.5000 0.0000 0.0000
Pm 0.2729 0.2729 0.0000
In 0.0000 0.5000 0.0000
Pm 0.7500 0.2500 0.5000
Pm 0.2729 0.0000 0.2729
Pm 0.0000 0.7271 0.7271
In 0.0000 0.0000 0.5000
Pm 0.5000 0.2500 0.7500